A plane-wave DFT calculation with PBE was carried out for crystalline Na4Pd2Pb3 at its relaxed geometry.

Geometry as extended XYZ:
```
9
Lattice="7.838 -2.164 0.000 7.838 2.164 0.000 -2.848 0.000 7.152" Properties=species:S:1:pos:R:3 pbc="T T T"
Na 0.698 0.000 2.560
Na 1.832 0.000 6.102
Na 10.995 0.000 1.049
Na 12.130 0.000 4.591
Pd -1.242 0.000 6.466
Pd 14.069 0.000 0.685
Pb 5.360 0.000 2.347
Pb 7.838 0.000 0.000
Pb 7.468 0.000 4.804
```

- Energy relative to the elements: -1.74 eV/f.u.

***

A plane-wave DFT calculation with PBE was carried out for crystalline CrCd2Co at its relaxed geometry.

Geometry as extended XYZ:
```
8
Lattice="-3.628 3.628 2.659 3.628 -3.628 2.659 3.628 3.628 -2.659" Properties=species:S:1:pos:R:3 pbc="T T T"
Cr 0.000 0.000 0.000
Cr 0.000 3.628 1.329
Cd 1.814 -1.712 1.994
Cd 1.915 1.814 0.665
Cd 1.814 5.340 -0.665
Cd 1.712 1.814 3.323
Co 3.628 0.000 1.329
Co 0.000 0.000 2.659
```

- Offset from the most stable computed form: 786.4 meV per atom
- Energy relative to the elements: 4.18 eV/f.u.

***

A plane-wave DFT calculation with PBE was carried out for crystalline ZrMnAs3 at its relaxed geometry.

Geometry as extended XYZ:
```
5
Lattice="5.164 0.000 0.000 0.000 5.164 0.000 0.000 0.000 5.164" Properties=species:S:1:pos:R:3 pbc="T T T"
Zr 0.000 0.000 0.000
Mn 2.582 2.582 2.582
As 0.000 0.000 2.582
As 0.000 2.582 0.000
As 2.582 0.000 0.000
```

- Offset from the most stable computed form: 298.1 meV per atom
- Energy relative to the elements: 2.48 eV/f.u.

***

A plane-wave DFT calculation with PBE was carried out for crystalline Zr2ScAu at its relaxed geometry.

Geometry as extended XYZ:
```
4
Lattice="3.205 0.000 0.000 0.000 3.205 0.000 0.000 0.000 8.475" Properties=species:S:1:pos:R:3 pbc="T T T"
Zr 0.000 0.000 1.978
Zr 0.000 0.000 6.497
Sc 1.603 1.603 4.238
Au 1.603 1.603 0.000
```

- Energy relative to the elements: -0.96 eV/f.u.

***

A plane-wave DFT calculation with PBE was carried out for crystalline Ac6SnS8 at its relaxed geometry.

Geometry as extended XYZ:
```
15
Lattice="0.000 6.064 6.064 6.064 0.000 6.064 6.064 6.064 0.000" Properties=species:S:1:pos:R:3 pbc="T T T"
Ac 3.032 3.032 0.000
Ac 3.032 0.000 3.032
Ac 6.064 3.032 3.032
Ac 0.000 3.032 3.032
Ac 3.032 6.064 3.032
Ac 3.032 3.032 6.064
Sn 0.000 0.000 0.000
S 6.064 6.064 2.938
S 6.064 2.938 6.064
S 9.189 6.064 6.064
S 3.032 3.032 3.032
S 9.096 9.096 9.096
S 2.938 6.064 6.064
S 6.064 9.189 6.064
S 6.064 6.064 9.189
```

- Formation energy without anion corrections: -1.826 eV per atom

***

A plane-wave DFT calculation with PBE was carried out for crystalline La2ErAl4Au3 at its relaxed geometry.

Geometry as extended XYZ:
```
10
Lattice="4.400 0.000 0.000 0.000 4.400 0.000 0.000 0.000 11.707" Properties=species:S:1:pos:R:3 pbc="T T T"
La 0.000 2.200 2.736
La 2.200 0.000 8.970
Er 0.000 0.000 5.853
Al 0.000 0.000 0.000
Al 0.000 2.200 7.780
Al 2.200 0.000 3.927
Al 2.200 2.200 0.000
Au 0.000 2.200 10.303
Au 2.200 0.000 1.403
Au 2.200 2.200 5.853
```

- Energy relative to the elements: -6.50 eV/f.u.

***

A plane-wave DFT calculation with PBE was carried out for crystalline Nd8GaRu3Br4 at its relaxed geometry.

Geometry as extended XYZ:
```
16
Lattice="4.168 2.406 7.783 -4.168 2.406 7.783 0.000 -4.813 7.783" Properties=species:S:1:pos:R:3 pbc="T T T"
Nd -2.181 -1.259 13.186
Nd 0.000 0.000 5.489
Nd 0.000 -2.518 10.163
Nd -2.181 1.259 10.163
Nd 2.181 -1.259 13.186
Nd 0.000 2.518 13.186
Nd 0.000 0.000 17.859
Nd 2.181 1.259 10.163
Ga 0.000 0.000 11.674
Ru -4.168 0.000 11.674
Ru -2.084 1.203 3.891
Ru 2.084 1.203 3.891
Br 0.000 0.000 0.000
Br -2.084 -1.203 7.783
Br -2.084 1.203 15.566
Br 0.000 2.406 7.783
```

- Formation energy without anion corrections: -0.812 eV per atom

***

A plane-wave DFT calculation with PBE was carried out for crystalline Ac4Ga5Ag2 at its relaxed geometry.

Geometry as extended XYZ:
```
11
Lattice="7.260 0.000 0.000 0.000 4.568 0.000 -0.510 0.000 9.264" Properties=species:S:1:pos:R:3 pbc="T T T"
Ac 1.296 0.000 3.560
Ac 1.451 0.000 8.503
Ac 5.299 0.000 0.761
Ac 5.454 0.000 5.704
Ga 1.125 2.284 6.079
Ga 3.174 2.284 1.868
Ga 3.375 2.284 4.632
Ga 3.576 2.284 7.396
Ga 5.625 2.284 3.185
Ag 0.478 2.284 1.317
Ag 6.272 2.284 7.947
```

- Energy relative to the elements: -4.00 eV/f.u.

***

A plane-wave DFT calculation with PBE was carried out for crystalline GaCu4Ge at its relaxed geometry.

Geometry as extended XYZ:
```
6
Lattice="0.000 3.471 3.471 3.471 0.000 3.471 3.471 3.471 0.000" Properties=species:S:1:pos:R:3 pbc="T T T"
Ga 0.000 0.000 0.000
Cu 2.602 2.602 2.602
Cu 4.341 4.341 2.602
Cu 4.341 2.602 4.341
Cu 2.602 4.341 4.341
Ge 5.207 5.207 5.207
```

- Offset from the most stable computed form: 107.8 meV per atom
- Energy relative to the elements: 0.52 eV/f.u.

***

A plane-wave DFT calculation with PBE was carried out for crystalline ErScGaGe at its relaxed geometry.

Geometry as extended XYZ:
```
4
Lattice="3.904 0.000 0.000 0.000 2.086 5.217 0.000 -2.086 5.217" Properties=species:S:1:pos:R:3 pbc="T T T"
Er 0.000 0.000 0.000
Sc 1.952 0.000 2.897
Ga 1.952 0.000 5.834
Ge 0.000 0.000 7.545
```

- Offset from the most stable computed form: 0.0 meV per atom
- Energy relative to the elements: -3.00 eV/f.u.

***

A plane-wave DFT calculation with PBE was carried out for crystalline Ca4As2I5 at its relaxed geometry.

Geometry as extended XYZ:
```
11
Lattice="11.789 -2.123 0.000 11.789 2.123 0.000 -0.391 0.000 8.704" Properties=species:S:1:pos:R:3 pbc="T T T"
Ca 0.379 0.000 1.913
Ca 7.389 0.000 8.007
Ca 15.798 0.000 0.698
Ca 22.808 0.000 6.792
As 10.636 0.000 0.360
As 12.551 0.000 8.344
I 3.373 0.000 2.874
I 4.303 0.000 7.213
I 11.594 0.000 4.352
I 18.884 0.000 1.491
I 19.815 0.000 5.830
```

- Formation energy without anion corrections: -1.319 eV per atom

***

A plane-wave DFT calculation with PBE was carried out for crystalline Ce3Tl2Ru at its relaxed geometry.

Geometry as extended XYZ:
```
12
Lattice="3.949 -5.400 0.000 3.949 5.400 0.000 -1.349 0.000 8.087" Properties=species:S:1:pos:R:3 pbc="T T T"
Ce 0.731 1.994 6.289
Ce 1.135 0.000 1.390
Ce 0.731 -1.994 6.289
Ce 5.817 1.994 1.798
Ce 5.413 0.000 6.697
Ce 5.817 -1.994 1.798
Tl -0.675 0.000 4.043
Tl 3.274 1.498 4.043
Tl 3.949 0.000 0.000
Tl 3.274 -1.498 4.043
Ru 3.949 3.257 0.000
Ru 3.949 -3.257 0.000
```

- Energy relative to the elements: -1.03 eV/f.u.

***

Number 1: density of states at the Fermi level 0.42 states/eV per atom, size of the total moment 0.0 μB/f.u.. Number 2: density of states at the Fermi level 2.20 states/eV per atom, size of the total moment 1.2 μB/f.u.. Number 3: density of states at the Fermi level 0.76 states/eV per atom, size of the total moment 4.7 μB/f.u.. Number 4: density of states at the Fermi level 1.35 states/eV per atom, size of the total moment 0.0 μB/f.u.. Number 5: density of states at the Fermi level 0.29 states/eV per atom, size of the total moment 0.0 μB/f.u.. Number 6: density of states at the Fermi level 0.66 states/eV per atom, size of the total moment 0.0 μB/f.u.. Number 7: density of states at the Fermi level 0.31 states/eV per atom, size of the total moment 0.0 μB/f.u.. Number 8: density of states at the Fermi level 0.86 states/eV per atom, size of the total moment 0.0 μB/f.u.. Number 9: density of states at the Fermi level 0.57 states/eV per atom, size of the total moment 0.0 μB/f.u.. Number 10: density of states at the Fermi level 0.80 states/eV per atom, size of the total moment 0.0 μB/f.u.. Number 11: density of states at the Fermi level 0.47 states/eV per atom, size of the total moment 0.2 μB/f.u.. Number 12: density of states at the Fermi level 2.75 states/eV per atom, size of the total moment 2.5 μB/f.u..